A | # InTc2P

A relaxed structure of InTc2P (PBE-GGA, the Alexandria database).

Unit cell a=4.4085 b=5.2511 c=5.2511 alpha=33.09 beta=90.00 gamma=90.00
Sites, in units of the cell vectors:
In  0.0000  0.0000  0.0000
Tc  0.0000  0.7376  0.7376
Tc  0.5000  0.3403  0.3403
P  0.5000  0.6556  0.6556

Calculated values
Total moment, Bohr magnetons per cell: 0.000
SG: Amm2 (38)
DOS(E_F), states/eV per cell: 4.142



B | # InTc2P

A relaxed structure of InTc2P (PBE-GGA, the Alexandria database).

Unit cell a=3.1417 b=4.1845 c=4.8853 alpha=90.00 beta=90.00 gamma=90.00
Sites, in units of the cell vectors:
In  0.0000  0.0000  0.0000
Tc  0.0000  0.5000  0.5000
Tc  0.5000  0.5000  0.0000
P  0.5000  0.0000  0.5000

Calculated values
Total moment, Bohr magnetons per cell: 0.001
SG: Pmmm (47)
DOS(E_F), states/eV per cell: 4.482



C | # InTc2P

A relaxed structure of InTc2P (PBE-GGA, the Alexandria database).

Unit cell a=9.2075 b=9.2075 c=9.2075 alpha=154.27 beta=154.27 gamma=36.71
Sites, in units of the cell vectors:
In  0.0000  0.0000  0.0000
In  0.7500  0.2500  0.5000
Tc  0.2208  0.6250  0.0958
Tc  0.3750  0.4708  0.5958
Tc  0.5292  0.1250  0.9042
Tc  0.8750  0.7792  0.4042
P  0.2500  0.7500  0.5000
P  0.5000  0.5000  0.0000

Calculated values
Total moment, Bohr magnetons per cell: 0.000
SG: I-42d (122)
DOS(E_F), states/eV per cell: 4.213



A comes first in stability; the runner-up is 294 meV per atom higher.



A | # InTc2P

A relaxed structure of InTc2P (PBE-GGA, the Alexandria database).

Unit cell a=2.9887 b=2.9887 c=6.8417 alpha=90.00 beta=90.00 gamma=90.00
Sites, in units of the cell vectors:
In  0.0000  0.0000  0.0000
Tc  0.5000  0.5000  0.3041
Tc  0.5000  0.5000  0.6959
P  0.0000  0.0000  0.5000

Calculated values
Total moment, Bohr magnetons per cell: 0.000
SG: P4/mmm (123)
DOS(E_F), states/eV per cell: 4.329



B | # InTc2P

A relaxed structure of InTc2P (PBE-GGA, the Alexandria database).

Unit cell a=8.6440 b=8.6440 c=8.6440 alpha=19.92 beta=19.92 gamma=19.92
Sites, in units of the cell vectors:
In  0.0000  0.0000  0.0000
Tc  0.2434  0.2434  0.2434
Tc  0.4943  0.4943  0.4943
P  0.7634  0.7634  0.7634

Calculated values
Total moment, Bohr magnetons per cell: 0.000
SG: R3m (160)
DOS(E_F), states/eV per cell: 3.620



C | # InTc2P

A relaxed structure of InTc2P (PBE-GGA, the Alexandria database).

Unit cell a=7.3247 b=7.3247 c=7.3247 alpha=156.69 beta=154.45 gamma=34.86
Sites, in units of the cell vectors:
In  0.0000  0.0000  0.0000
Tc  0.1783  0.6783  0.5000
Tc  0.3614  0.3614  0.0000
P  0.7428  0.2428  0.5000

Calculated values
Total moment, Bohr magnetons per cell: 0.000
SG: Imm2 (44)
DOS(E_F), states/eV per cell: 3.967



D | # InTc2P

A relaxed structure of InTc2P (PBE-GGA, the Alexandria database).

Unit cell a=3.0581 b=3.6041 c=5.9088 alpha=90.00 beta=102.88 gamma=90.00
Sites, in units of the cell vectors:
In  0.0000  0.0000  0.0000
Tc  0.3459  0.5000  0.7074
Tc  0.6541  0.5000  0.2926
P  0.0000  0.0000  0.5000

Calculated values
Total moment, Bohr magnetons per cell: 0.000
SG: P2/m (10)
DOS(E_F), states/eV per cell: 1.891



C comes first in stability; the runner-up is 42 meV per atom higher.



A | # InTeP2

A relaxed structure of InTeP2 (PBE-GGA, the Alexandria database).

Unit cell a=3.8773 b=4.9844 c=4.9844 alpha=68.78 beta=90.00 gamma=90.00
Sites, in units of the cell vectors:
In  0.0000  0.0000  0.0000
Te  0.5000  0.7184  0.7184
P  0.0000  0.4434  0.4434
P  0.5000  0.2618  0.2618

Calculated values
Total moment, Bohr magnetons per cell: 0.000
SG: Amm2 (38)
DOS(E_F), states/eV per cell: 1.246



B | # InTeP2

A relaxed structure of InTeP2 (PBE-GGA, the Alexandria database).

Unit cell a=8.7519 b=8.7519 c=8.7519 alpha=159.33 beta=150.29 gamma=36.47
Sites, in units of the cell vectors:
In  0.0000  0.0000  0.0000
Te  0.6209  0.1209  0.5000
P  0.3101  0.8101  0.5000
P  0.3969  0.3969  0.0000

Calculated values
Total moment, Bohr magnetons per cell: 0.000
SG: Imm2 (44)
DOS(E_F), states/eV per cell: 1.158



C | # InTeP2

A relaxed structure of InTeP2 (PBE-GGA, the Alexandria database).

Unit cell a=4.2732 b=4.2732 c=8.3500 alpha=91.71 beta=91.71 gamma=43.21
Sites, in units of the cell vectors:
In  0.0000  0.0000  0.0000
Te  0.7436  0.7436  0.2743
P  0.2179  0.2179  0.7292
P  0.5849  0.5849  0.6029

Calculated values
Total moment, Bohr magnetons per cell: 0.000
SG: Cm (8)
DOS(E_F), states/eV per cell: 0.853



C comes first in stability; the runner-up is 47 meV per atom higher.



A | # InTeP2

A relaxed structure of InTeP2 (PBE-GGA, the Alexandria database).

Unit cell a=3.2924 b=3.2924 c=8.9403 alpha=90.00 beta=90.00 gamma=90.00
Sites, in units of the cell vectors:
In  0.0000  0.0000  0.0000
Te  0.5000  0.5000  0.6635
P  0.0000  0.0000  0.3204
P  0.5000  0.5000  0.3734

Calculated values
Total moment, Bohr magnetons per cell: 0.000
SG: P4mm (99)
DOS(E_F), states/eV per cell: 2.863



B | # InTeP2

A relaxed structure of InTeP2 (PBE-GGA, the Alexandria database).

Unit cell a=4.8804 b=3.9510 c=5.2414 alpha=90.00 beta=101.92 gamma=90.00
Sites, in units of the cell vectors:
In  0.0000  0.0000  0.0000
Te  0.5000  0.0000  0.5000
P  0.3291  0.5000  0.8282
P  0.6709  0.5000  0.1718

Calculated values
Total moment, Bohr magnetons per cell: 0.000
SG: P2/m (10)
DOS(E_F), states/eV per cell: 0.819



C | # InTeP2

A relaxed structure of InTeP2 (PBE-GGA, the Alexandria database).

Unit cell a=8.1579 b=8.1579 c=8.1579 alpha=139.63 beta=139.63 gamma=58.42
Sites, in units of the cell vectors:
In  0.0000  0.0000  0.0000
In  0.7500  0.2500  0.5000
Te  0.2500  0.7500  0.5000
Te  0.5000  0.5000  0.0000
P  0.1223  0.6250  0.9973
P  0.3750  0.3723  0.4973
P  0.6277  0.1250  0.0027
P  0.8750  0.8777  0.5027

Calculated values
Total moment, Bohr magnetons per cell: 0.000
SG: I-42d (122)
DOS(E_F), states/eV per cell: 1.683



B comes first in stability; the runner-up is 108 meV per atom higher.



A | # InTeP2

A relaxed structure of InTeP2 (PBE-GGA, the Alexandria database).

Unit cell a=4.8853 b=4.8853 c=4.8853 alpha=60.00 beta=60.00 gamma=60.00
Sites, in units of the cell vectors:
In  0.0000  0.0000  0.0000
Te  0.5000  0.5000  0.5000
P  0.2500  0.2500  0.2500
P  0.7500  0.7500  0.7500

Calculated values
Total moment, Bohr magnetons per cell: 0.000
SG: Fm-3m (225)
DOS(E_F), states/eV per cell: 2.649



B | # InTeP2

A relaxed structure of InTeP2 (PBE-GGA, the Alexandria database).

Unit cell a=4.0638 b=4.0638 c=7.5143 alpha=90.00 beta=90.00 gamma=124.45
Sites, in units of the cell vectors:
In  0.0000  0.0000  0.0000
Te  0.0000  0.0000  0.5000
P  0.5000  0.5000  0.2488
P  0.5000  0.5000  0.7512

Calculated values
Total moment, Bohr magnetons per cell: 0.000
SG: Cmmm (65)
DOS(E_F), states/eV per cell: 3.218



B comes first in stability; the runner-up is 39 meV per atom higher.



A | # InTeP2

A relaxed structure of InTeP2 (PBE-GGA, the Alexandria database).

Unit cell a=6.8162 b=6.8162 c=6.8162 alpha=147.20 beta=147.20 gamma=47.07
Sites, in units of the cell vectors:
In  0.0000  0.0000  0.0000
Te  0.7500  0.2500  0.5000
P  0.2500  0.7500  0.5000
P  0.5000  0.5000  0.0000

Calculated values
Total moment, Bohr magnetons per cell: 0.000
SG: I-4m2 (119)
DOS(E_F), states/eV per cell: 2.546



B | # InTeP2

A relaxed structure of InTeP2 (PBE-GGA, the Alexandria database).

Unit cell a=5.2320 b=5.2320 c=5.2320 alpha=135.10 beta=108.87 gamma=88.18
Sites, in units of the cell vectors:
In  0.0000  0.0000  0.0000
Te  0.5000  0.5000  0.0000
P  0.2566  0.7566  0.5000
P  0.7434  0.2434  0.5000

Calculated values
Total moment, Bohr magnetons per cell: 0.001
SG: Immm (71)
DOS(E_F), states/eV per cell: 2.728



A comes first in stability; the runner-up is 12 meV per atom higher.